The following is a DFT calculation (PBE) of a relaxed structure of Ca2La8Y3.

a = 18.8721 Å, b = 7.9445 Å, c = 6.6216 Å
α = 90.00°, β = 104.70°, γ = 90.00°
Closest atoms and distances in Å follow each position.
Space group C2/m (No. 12)
Inequivalent atoms, fractional coordinates:
Ca  0.1539  0.0000  0.2738  12 La 3.70-4.04, 2 Y 3.86
La  0.0414  0.0000  0.7171  3 La 2.90-3.22
La  0.1701  0.2754  0.7745  2 La 3.22-3.57
La  0.1698  0.5000  0.2812  3 Y 3.62-3.84, 6 La 3.72-3.82, 3 Ca 3.84-3.98
Y  0.0000  0.3036  0.0000  1 Y 3.12, 2 La 3.27
Y  0.0000  0.5000  0.5000  4 Y 3.66, 6 La 3.72-3.84

Energy of formation from the pure elements, eV per atom: 0.166
Crystal system: monoclinic